1.
# Tl11Hg4, optimized geometry, DFT PBE
# - E_form (kJ per mole of atoms) = 1.2
# - density of states at the Fermi level (states/eV/cell) = 11.97
# - VASP energy (eV/atom) = -1.8032
data_Tl11Hg4
_cell_length_a 11.907
_cell_length_b 11.907
_cell_length_c 6.417
_cell_angle_alpha 90.00
_cell_angle_beta 90.00
_cell_angle_gamma 90.00
_space_group_name_H-M_alt 'P 42/m n m'
_space_group_IT_number 136
_space_group_name_Hall '-P 4n 2n'
loop_
_atom_site_label
_atom_site_type_symbol
_atom_site_fract_x
_atom_site_fract_y
_atom_site_fract_z
Tl1 Tl 0.000 0.000 0.000
Tl2 Tl 0.067 0.278 0.000
Tl3 Tl 0.104 0.104 0.500
Tl4 Tl 0.181 0.819 0.252
Hg1 Hg 0.041 0.366 0.500

2.
# Tl5Hg6, optimized geometry, DFT PBE
# - E_form (kJ per mole of atoms) = 0.9
# - density of states at the Fermi level (states/eV/cell) = 12.09
# - VASP energy (eV/atom) = -1.2309
data_Tl5Hg6
_cell_length_a 4.960
_cell_length_b 15.291
_cell_length_c 8.826
_cell_angle_alpha 90.00
_cell_angle_beta 90.05
_cell_angle_gamma 90.00
_space_group_name_H-M_alt 'C 1 2/m 1'
_space_group_IT_number 12
loop_
_space_group_symop_operation_xyz
'x,y,z'
'-x,-y,-z'
'-x,y,-z'
'x,-y,z'
'x+1/2,y+1/2,z'
'-x+1/2,-y+1/2,-z'
'-x+1/2,y+1/2,-z'
'x+1/2,-y+1/2,z'
loop_
_atom_site_label
_atom_site_type_symbol
_atom_site_fract_x
_atom_site_fract_y
_atom_site_fract_z
Tl1 Tl 0.000 0.000 0.000
Tl2 Tl 0.000 0.330 0.000
Tl3 Tl 0.000 0.343 0.500
Hg1 Hg 0.000 0.163 0.258
Hg2 Hg 0.001 0.500 0.257

3.
# Tl6Hg5, optimized geometry, DFT PBE
# - E_form (kJ per mole of atoms) = 0.5
# - density of states at the Fermi level (states/eV/cell) = 8.48
# - VASP energy (eV/atom) = -1.4232
data_Tl6Hg5
_cell_length_a 8.842
_cell_length_b 11.642
_cell_length_c 6.627
_cell_angle_alpha 90.00
_cell_angle_beta 103.55
_cell_angle_gamma 90.00
_space_group_name_H-M_alt 'C 1 2/m 1'
_space_group_IT_number 12
loop_
_space_group_symop_operation_xyz
'x,y,z'
'-x,-y,-z'
'-x,y,-z'
'x,-y,z'
'x+1/2,y+1/2,z'
'-x+1/2,-y+1/2,-z'
'-x+1/2,y+1/2,-z'
'x+1/2,-y+1/2,z'
loop_
_atom_site_label
_atom_site_type_symbol
_atom_site_fract_x
_atom_site_fract_y
_atom_site_fract_z
Tl1 Tl 0.183 0.000 0.197
Tl2 Tl 0.193 0.144 0.683
Hg1 Hg 0.000 0.236 0.000
Hg2 Hg 0.000 0.368 0.500
Hg3 Hg 0.000 0.500 0.000

4.
# TlHg2, optimized geometry, DFT PBE
# - E_form (kJ per mole of atoms) = -1.9
# - density of states at the Fermi level (states/eV/cell) = 3.85
# - VASP energy (eV/atom) = -1.0100
data_TlHg2
_cell_length_a 6.557
_cell_length_b 5.161
_cell_length_c 10.112
_cell_angle_alpha 90.00
_cell_angle_beta 90.00
_cell_angle_gamma 90.00
_space_group_name_H-M_alt 'P n m a'
_space_group_IT_number 62
loop_
_space_group_symop_operation_xyz
'x,y,z'
'-x,-y,-z'
'-x+1/2,-y,z+1/2'
'x+1/2,y,-z+1/2'
'x+1/2,-y+1/2,-z+1/2'
'-x+1/2,y+1/2,z+1/2'
'-x,y+1/2,-z'
'x,-y+1/2,z'
loop_
_atom_site_label
_atom_site_type_symbol
_atom_site_fract_x
_atom_site_fract_y
_atom_site_fract_z
Tl1 Tl 0.139 0.250 0.098
Hg1 Hg 0.112 0.250 0.754
Hg2 Hg 0.136 0.250 0.428

5.
# TlHg2, optimized geometry, DFT PBE
# - E_form (kJ per mole of atoms) = -1.7
# - density of states at the Fermi level (states/eV/cell) = 0.97
# - VASP energy (eV/atom) = -1.0073
data_TlHg2
_cell_length_a 3.5513
_cell_length_b 3.5513
_cell_length_c 7.8928
_cell_angle_alpha 90.00
_cell_angle_beta 90.00
_cell_angle_gamma 120.00
_space_group_name_H-M_alt 'P -3 m 1'
_space_group_IT_number 164
_space_group_name_Hall '-P 3 2"'
loop_
_atom_site_label
_atom_site_type_symbol
_atom_site_fract_x
_atom_site_fract_y
_atom_site_fract_z
Tl1 Tl 0.0000 0.0000 0.0000
Hg1 Hg 0.3333 0.6667 0.3442

6.
# Tl3Hg, optimized geometry, DFT PBE
# - E_form (kJ per mole of atoms) = 1.4
# - density of states at the Fermi level (states/eV/cell) = 3.35
# - VASP energy (eV/atom) = -1.8361
data_Tl3Hg
_cell_length_a 6.9097
_cell_length_b 6.9097
_cell_length_c 5.7738
_cell_angle_alpha 90.00
_cell_angle_beta 90.00
_cell_angle_gamma 120.00
_space_group_name_H-M_alt 'P 63/m m c'
_space_group_IT_number 194
_space_group_name_Hall '-P 6c 2c'
loop_
_atom_site_label
_atom_site_type_symbol
_atom_site_fract_x
_atom_site_fract_y
_atom_site_fract_z
Tl1 Tl 0.1678 0.3356 0.2500
Hg1 Hg 0.3333 0.6667 0.7500

Number 1: calculated density 11.14 g/cm3. Number 2: calculated density 11.04 g/cm3. Number 3: calculated density 11.16 g/cm3. Number 4: calculated density 11.75 g/cm3. Number 5: calculated density 11.66 g/cm3. Number 6: calculated density 11.32 g/cm3.